No. 1
The following is a DFT calculation (GGA-PBE) of an optimized crystal structure of MgIrSe2.

Properties
Formation energy from raw total energies   -0.23 eV per atom
Magnetic moment   0.4 μB per cell

a b c (Å): 8.0998 8.0998 8.0998
angles (deg): 26.97 26.97 26.97
Last column: nearest neighbours and their distance in Å.
Element x y z (fractional)
Mg  0.0000  0.0000  0.0000  2 Se 2.65
Ir  0.5000  0.5000  0.5000  6 Se 2.51
Se  0.8867  0.8867  0.8867  3 Ir 2.51, 1 Mg 2.65
Se  0.1133  0.1133  0.1133  3 Ir 2.51, 1 Mg 2.65

No. 2
The following is a DFT calculation (GGA-PBE) of an optimized crystal structure of Er4TmHg5.

Properties
DFT formation energy   -481.6 meV per atom
Magnetic moment   0.0 μB per cell

a b c (Å): 3.6868 3.6868 18.4532
angles (deg): 90.00 90.00 90.00
Last column: nearest neighbours and their distance in Å.
Element x y z (fractional)
Er  0.0000  0.0000  0.1995  8 Hg 3.20
Er  0.0000  0.0000  0.3998  8 Hg 3.19-3.20
Er  0.0000  0.0000  0.6002  8 Hg 3.19-3.20
Er  0.0000  0.0000  0.8005  8 Hg 3.20
Tm  0.0000  0.0000  0.0000  8 Hg 3.18
Hg  0.5000  0.5000  0.0990  4 Tm 3.18, 4 Er 3.20
Hg  0.5000  0.5000  0.2998  8 Er 3.19-3.20
Hg  0.5000  0.5000  0.5000  8 Er 3.20
Hg  0.5000  0.5000  0.7002  8 Er 3.19-3.20
Hg  0.5000  0.5000  0.9010  4 Tm 3.18, 4 Er 3.20